# 1
Material: TeRu2Se
Method: DFT, PBE
State: optimized geometry

```
data_TeRu2Se
_chemical_formula_sum 'Te1 Ru2 Se1'
_cell_length_a 3.105
_cell_length_b 3.105
_cell_length_c 8.269
_cell_angle_alpha 90.00
_cell_angle_beta 90.00
_cell_angle_gamma 90.00
_symmetry_space_group_name_H-M 'P 4 m m'
_symmetry_Int_Tables_number 99
loop_
_symmetry_equiv_pos_as_xyz
'x,y,z'
'-y,x,z'
'-x,-y,z'
'y,-x,z'
'-x,y,z'
'y,x,z'
'x,-y,z'
'-y,-x,z'
loop_
_atom_site_label
_atom_site_type_symbol
_atom_site_fract_x
_atom_site_fract_y
_atom_site_fract_z
Te1 Te 0.000 0.000 0.000
Ru1 Ru 0.000 0.000 0.427
Ru2 Ru 0.500 0.500 0.179
Se1 Se 0.500 0.500 0.576
```

Properties
VASP energy	-24.823	eV/cell
ΔE_f (raw)	89	meV per atom
DOS at the Fermi energy	0.8265	states/eV/atom


# 2
Material: Ta2SnBi
Method: DFT, PBE
State: optimized geometry

```
data_Ta2SnBi
_chemical_formula_sum 'Ta8 Sn4 Bi4'
_cell_length_a 6.931
_cell_length_b 6.931
_cell_length_c 6.931
_cell_angle_alpha 90.00
_cell_angle_beta 90.00
_cell_angle_gamma 90.00
_symmetry_space_group_name_H-M 'F m -3 m'
_symmetry_Int_Tables_number 225
_symmetry_space_group_name_Hall '-F 4 2 3'
loop_
_atom_site_label
_atom_site_type_symbol
_atom_site_fract_x
_atom_site_fract_y
_atom_site_fract_z
Ta1 Ta 0.250 0.250 0.250
Sn1 Sn 0.000 0.000 0.000
Bi1 Bi 0.000 0.000 0.500
```

Properties
formation enthalpy at 0 K	480	meV per atom
VASP energy	-118.675	eV/cell
DOS at the Fermi energy	0.8083	states/eV/atom


# 3
Material: Pm2CuAgSe4
Method: DFT, PBE
State: optimized geometry

```
data_Pm2CuAgSe4
_chemical_formula_sum 'Pm2 Cu1 Ag1 Se4'
_cell_length_a 6.737
_cell_length_b 4.222
_cell_length_c 7.374
_cell_angle_alpha 90.00
_cell_angle_beta 112.39
_cell_angle_gamma 90.00
_symmetry_space_group_name_H-M 'P 1 2/m 1'
_symmetry_Int_Tables_number 10
loop_
_symmetry_equiv_pos_as_xyz
'x,y,z'
'-x,-y,-z'
'-x,y,-z'
'x,-y,z'
loop_
_atom_site_label
_atom_site_type_symbol
_atom_site_fract_x
_atom_site_fract_y
_atom_site_fract_z
Pm1 Pm 0.000 0.000 0.000
Pm2 Pm 0.000 0.500 0.500
Cu1 Cu 0.500 0.000 0.500
Ag1 Ag 0.500 0.500 0.000
Se1 Se 0.261 0.000 0.752
Se2 Se 0.268 0.500 0.267
```

Properties
VASP energy	-39.151	eV/cell
ΔE_f (raw)	-1096	meV per atom


# 4
Material: SrVH
Method: DFT, PBE
State: optimized geometry

```
data_SrVH
_chemical_formula_sum 'Sr4 V4 H4'
_cell_length_a 10.783
_cell_length_b 3.406
_cell_length_c 5.886
_cell_angle_alpha 90.00
_cell_angle_beta 90.00
_cell_angle_gamma 90.00
_symmetry_space_group_name_H-M 'A m m 2'
_symmetry_Int_Tables_number 38
loop_
_symmetry_equiv_pos_as_xyz
'x,y,z'
'-x,-y,z'
'-x,y,z'
'x,-y,z'
'x,y+1/2,z+1/2'
'-x,-y+1/2,z+1/2'
'-x,y+1/2,z+1/2'
'x,-y+1/2,z+1/2'
loop_
_atom_site_label
_atom_site_type_symbol
_atom_site_fract_x
_atom_site_fract_y
_atom_site_fract_z
Sr1 Sr 0.161 0.000 0.000
V1 V 0.412 0.000 0.664
H1 H 0.000 0.000 0.667
H2 H 0.500 0.000 0.996
```

Properties
VASP energy	-50.485	eV/cell
DOS at the Fermi energy	0.9429	states/eV/atom


# 5
Material: TaMnInRh
Method: DFT, PBE
State: optimized geometry

```
data_TaMnInRh
_chemical_formula_sum 'Ta4 Mn4 In4 Rh4'
_cell_length_a 6.295
_cell_length_b 6.295
_cell_length_c 6.295
_cell_angle_alpha 90.00
_cell_angle_beta 90.00
_cell_angle_gamma 90.00
_symmetry_space_group_name_H-M 'F -4 3 m'
_symmetry_Int_Tables_number 216
_symmetry_space_group_name_Hall 'F -4 2 3'
loop_
_atom_site_label
_atom_site_type_symbol
_atom_site_fract_x
_atom_site_fract_y
_atom_site_fract_z
Ta1 Ta 0.000 0.000 0.000
Mn1 Mn 0.250 0.250 0.750
In1 In 0.000 0.000 0.500
Rh1 Rh 0.250 0.250 0.250
```

Properties
formation enthalpy at 0 K	-168	meV per atom
VASP energy	-127.143	eV/cell
DOS at the Fermi energy	0.0731	states/eV/atom


# 6
Material: TaBW3
Method: DFT, PBE
State: optimized geometry

```
data_TaBW3
_chemical_formula_sum 'Ta1 B1 W3'
_cell_length_a 4.777
_cell_length_b 4.777
_cell_length_c 4.777
_cell_angle_alpha 90.00
_cell_angle_beta 90.00
_cell_angle_gamma 90.00
_symmetry_space_group_name_H-M 'P m -3 m'
_symmetry_Int_Tables_number 221
_symmetry_space_group_name_Hall '-P 4 2 3'
loop_
_atom_site_label
_atom_site_type_symbol
_atom_site_fract_x
_atom_site_fract_y
_atom_site_fract_z
Ta1 Ta 0.000 0.000 0.000
B1 B 0.500 0.500 0.500
W1 W 0.000 0.000 0.500
```

Properties
formation enthalpy at 0 K	3229	meV per atom
VASP energy	-41.245	eV/cell
DOS at the Fermi energy	1.0323	states/eV/atom


# 7
Material: Sr2ReBr
Method: DFT, PBE
State: optimized geometry

```
data_Sr2ReBr
_chemical_formula_sum 'Sr2 Re1 Br1'
_cell_length_a 3.596
_cell_length_b 3.596
_cell_length_c 8.641
_cell_angle_alpha 90.00
_cell_angle_beta 90.00
_cell_angle_gamma 90.00
_symmetry_space_group_name_H-M 'P 4/m m m'
_symmetry_Int_Tables_number 123
_symmetry_space_group_name_Hall '-P 4 2'
loop_
_atom_site_label
_atom_site_type_symbol
_atom_site_fract_x
_atom_site_fract_y
_atom_site_fract_z
Sr1 Sr 0.000 0.000 0.230
Re1 Re 0.500 0.500 0.000
Br1 Br 0.500 0.500 0.500
```

Properties
VASP energy	-17.381	eV/cell
ΔE_f (raw)	26	meV per atom
DOS at the Fermi energy	0.6568	states/eV/atom


# 8
Material: Li4ZrTl5
Method: DFT, PBE
State: optimized geometry

```
data_Li4ZrTl5
_chemical_formula_sum 'Li4 Zr1 Tl5'
_cell_length_a 3.396
_cell_length_b 3.396
_cell_length_c 18.441
_cell_angle_alpha 90.00
_cell_angle_beta 90.00
_cell_angle_gamma 90.00
_symmetry_space_group_name_H-M 'P 4/m m m'
_symmetry_Int_Tables_number 123
_symmetry_space_group_name_Hall '-P 4 2'
loop_
_atom_site_label
_atom_site_type_symbol
_atom_site_fract_x
_atom_site_fract_y
_atom_site_fract_z
Li1 Li 0.000 0.000 0.102
Li2 Li 0.000 0.000 0.298
Zr1 Zr 0.000 0.000 0.500
Tl1 Tl 0.500 0.500 0.000
Tl2 Tl 0.500 0.500 0.201
Tl3 Tl 0.500 0.500 0.389
```

Properties
formation enthalpy at 0 K	-182	meV per atom
VASP energy	-29.850	eV/cell
DOS at the Fermi energy	0.4466	states/eV/atom